# NaPrIn

An optimized crystal structure of NaPrIn (GGA-PBE, Alexandria).

The structure belongs to space group Fmmm (No. 69); the cell edges are 6.778, 10.748 and 11.094 Å and the angles 90.00°, 90.00° and 90.00°. The inequivalent atoms are Na at (0.000, 0.158, 0.000), Pr at (0.000, 0.000, 0.325) and In at (0.250, 0.250, 0.250).

The value obtained for the total magnetization is 4.29 Bohr magnetons per cell. The value obtained for the formation energy is -0.069 eV/atom. The electronic total energy is -72.35 eV per cell.